Entry 1:
! MgCuW2 (PBEsol, relaxed); values from VASP
&SYSTEM
  ibrav = 0, nat = 4, ntyp = 3
/
ATOMIC_SPECIES
Cu 63.55 Cu.upf
Mg 24.30 Mg.upf
W 183.84 W.upf
CELL_PARAMETERS angstrom
-0.918 2.500 -0.360
-1.633 -1.209 -4.233
-4.100 -1.227 1.932
ATOMIC_POSITIONS angstrom
Cu -3.325 0.032 -1.331
Mg -0.459 1.250 -0.180
W -0.816 -0.605 -2.117
W -2.050 -0.613 0.966
! density of states at the Fermi level	4.291	states/eV per cell
! total energy	-7.575	eV/atom
! M_tot	0.00	μB per cell



Entry 2:
! Sc2Mn3Si (PBEsol, relaxed); values from VASP
&SYSTEM
  ibrav = 0, nat = 12, ntyp = 3
/
ATOMIC_SPECIES
Mn 54.94 Mn.upf
Si 28.09 Si.upf
Sc 44.96 Sc.upf
CELL_PARAMETERS angstrom
4.852 0.000 0.000
-2.426 4.202 0.000
0.000 0.000 8.003
ATOMIC_POSITIONS angstrom
Mn 1.154 3.467 2.001
Mn 3.580 0.735 6.002
Mn -1.154 3.467 2.001
Mn 1.272 0.735 6.002
Mn 2.426 2.733 6.002
Mn 0.000 1.469 2.001
Si 0.000 0.000 0.000
Si 0.000 0.000 4.001
Sc 2.426 1.401 0.530
Sc 0.000 2.801 4.532
Sc 0.000 2.801 7.472
Sc 2.426 1.401 3.471
! density of states at the Fermi level	9.007	states/eV per cell
! ΔE_f (raw)	-405	meV per atom
! total energy	-8.445	eV/atom
! M_tot	0.00	μB per cell



Entry 3:
! Tl3FeBr (PBEsol, relaxed); values from VASP
&SYSTEM
  ibrav = 0, nat = 5, ntyp = 3
/
ATOMIC_SPECIES
Tl 204.38 Tl.upf
Br 79.90 Br.upf
Fe 55.84 Fe.upf
CELL_PARAMETERS angstrom
5.839 0.000 0.000
0.000 5.839 0.000
0.000 0.000 5.839
ATOMIC_POSITIONS angstrom
Tl 0.000 0.000 2.920
Tl 0.000 2.920 0.000
Tl 2.920 0.000 0.000
Br 0.000 0.000 0.000
Fe 2.920 2.920 2.920
! density of states at the Fermi level	9.755	states/eV per cell
! ΔE_f (raw)	946	meV per atom
! total energy	-2.799	eV/atom
! M_tot	3.20	μB per cell



Entry 4:
! SiNiRh2 (PBEsol, relaxed); values from VASP
&SYSTEM
  ibrav = 0, nat = 4, ntyp = 3
/
ATOMIC_SPECIES
Si 28.09 Si.upf
Ni 58.69 Ni.upf
Rh 102.91 Rh.upf
CELL_PARAMETERS angstrom
2.828 0.000 0.000
0.000 2.828 0.000
0.000 0.000 6.197
ATOMIC_POSITIONS angstrom
Si 1.414 1.414 0.000
Ni 1.414 1.414 3.098
Rh 0.000 0.000 4.788
Rh 0.000 0.000 1.409
! density of states at the Fermi level	5.504	states/eV per cell
! ΔE_f (raw)	-436	meV per atom
! total energy	-7.481	eV/atom
! M_tot	1.03	μB per cell



Entry 5:
! TcIr3 (PBEsol, relaxed); values from VASP
&SYSTEM
  ibrav = 0, nat = 24, ntyp = 2
/
ATOMIC_SPECIES
Ir 192.22 Ir.upf
Tc 98.00 Tc.upf
CELL_PARAMETERS angstrom
-0.587 -2.794 -3.731
4.197 -3.027 1.607
-8.184 -7.631 7.000
ATOMIC_POSITIONS angstrom
Ir -3.441 -7.055 4.832
Ir 1.802 -2.924 -1.081
Ir -5.963 -8.039 4.991
Ir -7.323 -8.698 2.741
Ir -2.706 -9.226 3.384
Ir 3.152 -2.278 1.203
Ir -3.861 -9.555 5.795
Ir -1.536 -8.872 0.977
Ir 1.043 -0.756 0.395
Ir -2.064 -5.162 0.241
Ir -4.382 -5.198 1.653
Ir -1.837 -3.583 -1.952
Ir 0.031 -6.673 1.043
Ir 1.586 -4.476 1.137
Ir -3.623 -7.366 0.178
Ir -0.516 -2.960 0.332
Ir -0.743 -4.540 2.524
Ir -4.801 -7.715 2.582
Tc -2.842 -3.032 1.711
Tc -0.293 -1.394 -1.862
Tc 0.262 -5.091 -1.139
Tc -2.287 -6.728 2.435
Tc -5.542 -5.549 4.020
Tc -5.223 -10.204 3.553
! density of states at the Fermi level	24.348	states/eV per cell
! total energy	-10.319	eV/atom
! M_tot	0.00	μB per cell



Entry 6:
! ScTe2RuN (PBEsol, relaxed); values from VASP
&SYSTEM
  ibrav = 0, nat = 5, ntyp = 4
/
ATOMIC_SPECIES
Te 127.60 Te.upf
Ru 101.07 Ru.upf
Sc 44.96 Sc.upf
N 14.01 N.upf
CELL_PARAMETERS angstrom
3.727 0.000 0.000
0.000 5.482 0.000
0.000 0.000 5.482
ATOMIC_POSITIONS angstrom
Te 0.000 2.741 0.000
Te 0.000 0.000 2.741
Ru 1.863 2.741 2.741
Sc 0.000 0.000 0.000
N 1.863 0.000 0.000
! density of states at the Fermi level	7.837	states/eV per cell
! ΔE_f (raw)	814	meV per atom
! total energy	-5.657	eV/atom
! M_tot	2.22	μB per cell



Entry 7:
! Zn3W2 (PBEsol, relaxed); values from VASP
&SYSTEM
  ibrav = 0, nat = 5, ntyp = 2
/
ATOMIC_SPECIES
Zn 65.41 Zn.upf
W 183.84 W.upf
CELL_PARAMETERS angstrom
2.759 0.000 0.000
1.379 2.389 0.000
1.379 0.796 11.173
ATOMIC_POSITIONS angstrom
Zn 0.000 0.000 0.000
Zn 4.138 2.389 6.675
Zn 1.379 0.796 4.499
W 2.759 1.593 8.915
W 2.759 1.593 2.258
! density of states at the Fermi level	2.697	states/eV per cell
! total energy	-6.181	eV/atom
! M_tot	0.00	μB per cell



Entry 8:
! BaBr2 (PBEsol, relaxed); values from VASP
&SYSTEM
  ibrav = 0, nat = 12, ntyp = 2
/
ATOMIC_SPECIES
Br 79.90 Br.upf
Ba 137.33 Ba.upf
CELL_PARAMETERS angstrom
4.925 0.000 0.000
0.000 8.178 0.000
0.000 0.000 9.879
ATOMIC_POSITIONS angstrom
Br 3.694 7.006 5.633
Br 1.231 0.231 8.201
Br 1.231 4.320 6.617
Br 1.231 5.261 0.694
Br 3.694 3.858 3.262
Br 3.694 7.947 1.678
Br 3.694 2.917 9.185
Br 1.231 1.172 4.246
Ba 1.231 6.112 3.777
Ba 3.694 6.155 8.716
Ba 1.231 2.023 1.162
Ba 3.694 2.066 6.102
! density of states at the Fermi level	0.000	states/eV per cell
! ΔE_f (raw)	-2206	meV per atom
! total energy	-4.169	eV/atom
! M_tot	0.00	μB per cell



Entry 9:
! K2Mg3P4H20O24 (PBEsol, relaxed); values from VASP
&SYSTEM
  ibrav = 0, nat = 106, ntyp = 5
/
ATOMIC_SPECIES
O 16.00 O.upf
H 1.01 H.upf
K 39.10 K.upf
P 30.97 P.upf
Mg 24.30 Mg.upf
CELL_PARAMETERS angstrom
6.570 0.000 0.000
0.000 7.446 -0.004
0.000 -1.172 20.361
ATOMIC_POSITIONS angstrom
O 1.572 5.392 3.966
O 0.951 2.907 1.466
O 4.857 1.468 6.210
O 6.506 -0.377 13.881
O 0.209 3.335 8.329
O 5.089 1.881 2.922
O 0.514 4.873 10.411
O 3.221 6.066 16.656
O 1.804 4.980 7.254
O 5.079 6.444 8.729
O 6.361 2.940 12.027
O 0.064 6.652 6.476
O 1.491 -0.169 11.627
O 6.427 2.619 14.534
O 2.771 5.459 0.230
O 5.223 6.683 11.706
O 1.794 0.417 1.447
O 4.632 7.269 1.526
O 3.349 0.209 3.700
O 3.799 0.815 20.126
O 3.076 2.749 18.509
O 5.483 4.275 3.252
O 0.143 3.656 5.822
O 4.766 1.295 13.102
O 4.776 5.858 18.909
O 2.584 -0.277 6.443
O 5.869 7.138 3.733
O 3.428 3.205 4.353
O 5.511 4.682 15.946
O 1.938 -0.994 18.830
O 0.701 -0.863 16.623
O 2.226 1.007 14.590
O 1.059 1.592 4.410
O 3.142 3.070 16.003
O 1.087 2.000 17.105
O 2.198 2.586 6.924
O 4.997 0.882 16.390
O 3.494 3.525 1.847
O 4.344 5.268 5.766
O 1.481 4.394 17.434
O 3.986 6.552 13.913
O 5.619 3.368 18.890
O 4.372 3.689 13.432
O 1.712 4.807 14.146
O 2.334 2.321 11.646
O 6.056 1.401 9.946
O 1.347 -0.409 8.650
O 4.236 3.953 8.710
H 1.894 0.760 11.627
H 2.884 2.355 12.463
H 5.169 3.672 8.441
H 2.229 0.348 2.345
H 3.679 5.986 5.984
H 2.891 0.288 14.372
H 5.514 6.513 7.831
H 5.493 0.703 6.224
H 3.686 3.920 7.893
H 3.758 2.558 0.597
H 1.076 5.571 14.132
H 3.405 1.396 19.410
H 6.097 1.972 10.777
H 0.394 0.874 4.192
H 4.676 5.515 8.729
H 5.179 4.929 18.909
H 6.169 3.334 18.073
H 5.997 3.903 15.554
H 2.208 6.157 3.952
H 0.473 4.303 9.579
H 0.120 4.293 11.126
H 4.686 3.086 18.621
H 0.573 2.371 4.802
H 6.176 5.401 16.164
H 4.361 0.118 16.404
H 2.127 4.579 4.098
H 5.412 2.282 6.078
H 4.442 1.696 16.258
H 2.812 3.717 19.759
H 0.401 2.941 2.283
H 2.712 1.786 14.982
H 4.341 5.927 18.011
H 6.450 1.982 9.230
H 1.391 1.346 1.447
H 1.056 -0.238 12.525
H 3.165 4.879 0.946
H 1.401 2.603 11.915
H 1.884 3.188 1.735
H 1.158 3.993 14.278
H 3.858 4.489 5.374
K 6.414 0.654 19.189
K 3.129 5.035 11.348
K 0.156 5.621 1.167
K 3.441 1.240 9.008
P 1.871 5.976 17.390
P 1.049 3.565 7.064
P 4.333 3.296 3.112
P 5.156 -0.288 13.146
P 5.521 2.710 13.292
P 1.414 6.562 7.210
P 2.236 2.979 17.244
P 4.699 0.298 2.966
Mg 0.406 0.847 15.538
Mg 2.879 1.433 5.358
Mg 0.000 -0.586 10.180
Mg 3.691 4.842 14.998
Mg 3.285 0.000 0.000
Mg 6.164 5.427 4.818
! density of states at the Fermi level	0.000	states/eV per cell
! total energy	-5.897	eV/atom
! M_tot	0.00	μB per cell



Entry 10:
! CoBP2HPbO9 (PBEsol, relaxed); values from VASP
&SYSTEM
  ibrav = 0, nat = 30, ntyp = 6
/
ATOMIC_SPECIES
H 1.01 H.upf
O 16.00 O.upf
B 10.81 B.upf
Pb 207.20 Pb.upf
P 30.97 P.upf
Co 58.93 Co.upf
CELL_PARAMETERS angstrom
5.187 0.003 0.031
0.322 7.865 0.014
1.464 -0.039 8.229
ATOMIC_POSITIONS angstrom
H 3.622 6.442 4.058
H 3.351 1.388 4.217
O 1.512 5.396 3.686
O 2.478 1.469 4.655
O 0.885 0.964 2.873
O 4.495 6.360 3.620
O 1.279 1.664 0.496
O 2.054 3.060 2.955
O 3.980 7.620 6.664
O 5.460 2.434 4.589
O 5.694 6.166 7.779
O 5.496 4.442 1.671
O 6.088 6.865 5.402
O 2.772 4.928 1.531
O 4.201 2.902 6.743
O 0.997 7.112 1.134
O 1.477 3.388 6.604
O 5.976 0.718 7.141
O 4.919 4.770 5.319
O 2.993 0.210 1.611
B 1.427 1.983 3.770
B 5.546 5.847 4.505
Pb 2.964 5.439 7.587
Pb 4.009 2.391 0.687
P 1.623 4.465 2.435
P 5.350 3.364 5.839
P 5.494 7.341 6.775
P 1.479 0.489 1.500
Co 2.623 1.550 6.641
Co 4.349 6.280 1.633
! density of states at the Fermi level	4.090	states/eV per cell
! total energy	-7.243	eV/atom
! M_tot	6.00	μB per cell



Entry 11:
! CoRhAu2 (PBEsol, relaxed); values from VASP
&SYSTEM
  ibrav = 0, nat = 4, ntyp = 3
/
ATOMIC_SPECIES
Co 58.93 Co.upf
Au 196.97 Au.upf
Rh 102.91 Rh.upf
CELL_PARAMETERS angstrom
-2.668 -0.702 0.145
0.308 -1.627 -2.212
1.786 -5.854 4.553
ATOMIC_POSITIONS angstrom
Co 0.926 -3.036 2.361
Au 1.764 -5.783 4.498
Au -0.690 -2.772 0.217
Rh 0.104 -5.373 2.240
! density of states at the Fermi level	3.540	states/eV per cell
! ΔE to the lowest computed polymorph	0.0	meV/atom
! total energy	-5.819	eV/atom
! M_tot	2.59	μB per cell



Entry 12:
! La2Cu (PBEsol, relaxed); values from VASP
&SYSTEM
  ibrav = 0, nat = 6, ntyp = 2
/
ATOMIC_SPECIES
La 138.91 La.upf
Cu 63.55 Cu.upf
CELL_PARAMETERS angstrom
-4.436 -1.324 -3.721
-0.194 -2.216 5.507
-0.234 5.896 0.677
ATOMIC_POSITIONS angstrom
La -1.078 3.238 3.624
La -3.786 -0.882 -1.161
La -1.616 2.135 0.042
La -3.247 0.221 2.422
Cu -3.472 -2.655 1.339
Cu -1.157 -0.885 0.446
! density of states at the Fermi level	7.434	states/eV per cell
! total energy	-5.051	eV/atom
! M_tot	0.00	μB per cell